1.
The following is a DFT calculation (PBE) of Sr3FeAs after structural relaxation.

Properties
The calculation puts the formation energy at 2.1 kcal/mol of atoms. Its total magnetization is 3.1 μB/cell. The calculation puts the electronic total energy at -3.54 eV per atom.

POSCAR file:
```
Sr3FeAs
1.0
5.960 0.000 0.000
0.000 5.960 0.000
0.000 0.000 5.960
Sr Fe As
3 1 1
Cartesian
0.000 0.000 2.980 Sr
0.000 2.980 0.000 Sr
2.980 0.000 0.000 Sr
2.980 2.980 2.980 Fe
0.000 0.000 0.000 As
```



2.
The following is a DFT calculation (PBE) of La2Ta after structural relaxation.

Properties
The calculation puts the formation energy at 6.4 kcal/mol of atoms. Its total magnetization is 0.0 μB/cell. The calculation puts the electronic total energy at -6.96 eV per atom.

POSCAR file:
```
La2Ta
1.0
6.054 -1.875 0.000
6.054 1.875 0.000
-3.262 0.000 7.922
La Ta
4 2
Cartesian
-0.678 0.000 1.694 La
2.773 0.000 2.904 La
6.073 0.000 5.018 La
9.524 0.000 6.228 La
0.636 0.000 7.475 Ta
8.210 0.000 0.447 Ta
```



3.
The following is a DFT calculation (PBE) of Pa3Co4Si2 after structural relaxation.

Properties
As for the formation energy from raw total energies: -0.59 eV/atom. Its total magnetization is 0.0 μB/cell. The calculation puts the electronic total energy at -8.12 eV per atom.

POSCAR file:
```
Pa3Co4Si2
1.0
4.900 -2.035 0.000
4.900 2.035 0.000
-0.497 0.000 7.369
Pa Co Si
3 4 2
Cartesian
0.000 0.000 0.000 Pa
3.407 0.000 4.544 Pa
5.896 0.000 2.825 Pa
0.413 0.000 4.902 Co
2.324 0.000 6.666 Co
6.979 0.000 0.703 Co
8.890 0.000 2.468 Co
3.029 0.000 1.604 Si
6.274 0.000 5.765 Si
```



4.
The following is a DFT calculation (PBE) of Sc2InBi after structural relaxation.

Properties
The calculation puts the formation energy at -6.9 kcal/mol of atoms. Its total magnetization is 0.0 μB/cell. The calculation puts the electronic total energy at -5.12 eV per atom.

POSCAR file:
```
Sc2InBi
1.0
1.969 1.137 8.053
-1.969 1.137 8.053
0.000 -2.273 8.053
Sc In Bi
2 1 1
Cartesian
0.000 0.000 0.000 Sc
0.000 0.000 4.286 Sc
0.000 0.000 10.177 In
0.000 0.000 14.247 Bi
```



5.
The following is a DFT calculation (PBE) of MgSc2Ti2 after structural relaxation.

Properties
The calculation puts the formation energy at 11.2 kcal/mol of atoms. Its total magnetization is 0.0 μB/cell. The calculation puts the electronic total energy at -5.52 eV per atom.

POSCAR file:
```
MgSc2Ti2
1.0
-2.067 2.067 6.466
2.067 -2.067 6.466
2.067 2.067 -6.466
Mg Sc Ti
1 2 2
Cartesian
0.000 0.000 0.000 Mg
2.067 0.000 3.233 Sc
0.000 2.067 3.233 Sc
0.000 0.000 5.432 Ti
0.000 0.000 7.500 Ti
```



6.
The following is a DFT calculation (PBE) of Ba2UFeS6 after structural relaxation.

Properties
As for the formation energy from raw total energies: -1.39 eV/atom. Its total magnetization is 0.0 μB/cell. The calculation puts the electronic total energy at -6.22 eV per atom.

POSCAR file:
```
Ba2UFeS6
1.0
0.000 4.851 4.851
4.851 0.000 4.851
4.851 4.851 0.000
Ba U Fe S
2 1 1 6
Cartesian
2.425 2.425 2.425 Ba
7.276 7.276 7.276 Ba
0.000 0.000 0.000 U
4.851 4.851 4.851 Fe
4.851 4.851 2.553 S
4.851 2.553 4.851 S
7.149 4.851 4.851 S
2.553 4.851 4.851 S
4.851 7.149 4.851 S
4.851 4.851 7.149 S
```



7.
The following is a DFT calculation (PBE) of HfNp2ScP4 after structural relaxation.

Properties
The calculation puts the formation energy at -26.7 kcal/mol of atoms. Its total magnetization is 7.4 μB/cell. The calculation puts the electronic total energy at -9.13 eV per atom.

POSCAR file:
```
HfNp2ScP4
1.0
6.629 0.000 0.000
0.000 3.842 0.000
-2.227 0.000 6.274
Hf Np Sc P
1 2 1 4
Cartesian
0.000 0.000 0.000 Hf
2.201 0.000 3.137 Np
3.314 1.921 0.000 Np
-1.113 1.921 3.137 Sc
1.024 1.921 1.529 P
-0.092 0.000 4.692 P
4.494 0.000 1.582 P
3.377 1.921 4.744 P
```



8.
The following is a DFT calculation (PBE) of GdMgCuAg after structural relaxation.

Properties
The calculation puts the formation energy at -1.4 kcal/mol of atoms. Its total magnetization is 7.7 μB/cell. The calculation puts the electronic total energy at -5.72 eV per atom.

POSCAR file:
```
GdMgCuAg
1.0
0.000 3.419 3.419
3.419 0.000 3.419
3.419 3.419 0.000
Gd Mg Cu Ag
1 1 1 1
Cartesian
0.000 0.000 0.000 Gd
5.128 5.128 5.128 Mg
1.709 1.709 1.709 Cu
3.419 3.419 3.419 Ag
```